Record 1
# PBE TbNd2Er3Se6, optimized geometry
# Formation energy (no corrections): -21.1 eV/f.u.
# Total DFT energy (no corrections): -139.741 eV for the cell shown
data_TbNd2Er3Se6
_chemical_formula_sum 'Tb2 Nd4 Er6 Se12'
_cell_length_a 18.014
_cell_length_b 4.071
_cell_length_c 8.318
_cell_angle_alpha 90.00
_cell_angle_beta 104.69
_cell_angle_gamma 90.00
_space_group_name_H-M_alt 'C 1 2/m 1'
_space_group_IT_number 12
loop_
_space_group_symop_operation_xyz
'x,y,z'
'-x,-y,-z'
'-x,y,-z'
'x,-y,z'
'x+1/2,y+1/2,z'
'-x+1/2,-y+1/2,-z'
'-x+1/2,y+1/2,-z'
'x+1/2,-y+1/2,z'
loop_
_atom_site_label
_atom_site_type_symbol
_atom_site_fract_x
_atom_site_fract_y
_atom_site_fract_z
Tb1 Tb 0.000 0.000 0.000
Nd1 Nd 0.168 0.500 0.336
Er1 Er 0.000 0.000 0.500
Er2 Er 0.169 0.500 0.834
Se1 Se 0.004 0.500 0.748
Se2 Se 0.162 0.000 0.594
Se3 Se 0.167 0.000 0.071

=====

Record 2
# PBE CrAg2P, optimized geometry
# Energy relative to the elements: 0.3 eV per formula unit
# Total DFT energy (no corrections): -40.906 eV for the cell shown
data_CrAg2P
_chemical_formula_sum 'Cr2 Ag4 P2'
_cell_length_a 3.086
_cell_length_b 3.028
_cell_length_c 13.889
_cell_angle_alpha 90.00
_cell_angle_beta 90.00
_cell_angle_gamma 90.00
_space_group_name_H-M_alt 'A m m 2'
_space_group_IT_number 38
loop_
_space_group_symop_operation_xyz
'x,y,z'
'-x,-y,z'
'-x,y,z'
'x,-y,z'
'x,y+1/2,z+1/2'
'-x,-y+1/2,z+1/2'
'-x,y+1/2,z+1/2'
'x,-y+1/2,z+1/2'
loop_
_atom_site_label
_atom_site_type_symbol
_atom_site_fract_x
_atom_site_fract_y
_atom_site_fract_z
Cr1 Cr 0.000 0.000 0.000
Ag1 Ag 0.000 0.000 0.715
Ag2 Ag 0.500 0.000 0.356
P1 P 0.500 0.000 0.563

=====

Record 3
# PBE KCr2P, optimized geometry
# Energy relative to the elements: 0.9 eV per formula unit
# Total DFT energy (no corrections): -24.811 eV for the cell shown
data_KCr2P
_chemical_formula_sum 'K1 Cr2 P1'
_cell_length_a 3.143
_cell_length_b 3.780
_cell_length_c 7.146
_cell_angle_alpha 90.00
_cell_angle_beta 101.63
_cell_angle_gamma 90.00
_space_group_name_H-M_alt 'P 1 m 1'
_space_group_IT_number 6
loop_
_space_group_symop_operation_xyz
'x,y,z'
'x,-y,z'
loop_
_atom_site_label
_atom_site_type_symbol
_atom_site_fract_x
_atom_site_fract_y
_atom_site_fract_z
K1 K 0.000 0.000 0.000
Cr1 Cr 0.252 0.500 0.551
Cr2 Cr 0.733 0.000 0.511
P1 P 0.637 0.500 0.299

=====

Record 4
# PBE YB3O6, optimized geometry
# Formation energy (no corrections): -27.2 eV/f.u.
# Relative energy among the computed polymorphs: 29.4 meV per atom
# Total DFT energy (no corrections): -333.628 eV for the cell shown
data_YB3O6
_chemical_formula_sum 'Y4 B12 O24'
_cell_length_a 18.400
_cell_length_b 4.443
_cell_length_c 4.270
_cell_angle_alpha 90.00
_cell_angle_beta 90.00
_cell_angle_gamma 90.00
_space_group_name_H-M_alt 'P c a 21'
_space_group_IT_number 29
loop_
_space_group_symop_operation_xyz
'x,y,z'
'-x,-y,z+1/2'
'-x+1/2,y,z+1/2'
'x+1/2,-y,z'
loop_
_atom_site_label
_atom_site_type_symbol
_atom_site_fract_x
_atom_site_fract_y
_atom_site_fract_z
Y1 Y 0.165 0.181 0.000
B1 B 0.001 0.825 0.098
B2 B 0.074 0.671 0.570
B3 B 0.213 0.645 0.523
O1 O 0.016 0.867 0.741
O2 O 0.063 0.356 0.656
O3 O 0.069 0.732 0.235
O4 O 0.146 0.765 0.674
O5 O 0.209 0.317 0.515
O6 O 0.223 0.757 0.202

=====

Record 5
# PBE NdErCo, optimized geometry
# Energy relative to the elements: -0.1 eV per formula unit
# Relative energy among the computed polymorphs: 70.9 meV per atom
# Total DFT energy (no corrections): -66.236 eV for the cell shown
data_NdErCo
_chemical_formula_sum 'Nd4 Er4 Co4'
_cell_length_a 6.656
_cell_length_b 6.734
_cell_length_c 8.069
_cell_angle_alpha 90.00
_cell_angle_beta 122.94
_cell_angle_gamma 90.00
_space_group_name_H-M_alt 'P 1 21/c 1'
_space_group_IT_number 14
loop_
_space_group_symop_operation_xyz
'x,y,z'
'-x,-y,-z'
'-x,y+1/2,-z+1/2'
'x,-y+1/2,z+1/2'
loop_
_atom_site_label
_atom_site_type_symbol
_atom_site_fract_x
_atom_site_fract_y
_atom_site_fract_z
Nd1 Nd 0.198 0.159 0.419
Er1 Er 0.304 0.659 0.595
Co1 Co 0.289 0.523 0.282

=====

Record 6
# PBE CePaOs2, optimized geometry
# Energy relative to the elements: -0.5 eV per formula unit
# Relative energy among the computed polymorphs: 156.2 meV per atom
# Total DFT energy (no corrections): -153.723 eV for the cell shown
data_CePaOs2
_chemical_formula_sum 'Ce4 Pa4 Os8'
_cell_length_a 6.907
_cell_length_b 6.907
_cell_length_c 6.907
_cell_angle_alpha 90.00
_cell_angle_beta 90.00
_cell_angle_gamma 90.00
_space_group_name_H-M_alt 'F m -3 m'
_space_group_IT_number 225
_space_group_name_Hall '-F 4 2 3'
loop_
_atom_site_label
_atom_site_type_symbol
_atom_site_fract_x
_atom_site_fract_y
_atom_site_fract_z
Ce1 Ce 0.000 0.000 0.000
Pa1 Pa 0.000 0.000 0.500
Os1 Os 0.250 0.250 0.250

=====

Record 7
# PBE Tb2CeNd3S6, optimized geometry
# Formation energy (no corrections): -24.3 eV/f.u.
# Total DFT energy (no corrections): -157.223 eV for the cell shown
data_Tb2CeNd3S6
_chemical_formula_sum 'Tb4 Ce2 Nd6 S12'
_cell_length_a 6.934
_cell_length_b 12.040
_cell_length_c 6.972
_cell_angle_alpha 90.00
_cell_angle_beta 109.49
_cell_angle_gamma 90.00
_space_group_name_H-M_alt 'C 1 2/m 1'
_space_group_IT_number 12
loop_
_space_group_symop_operation_xyz
'x,y,z'
'-x,-y,-z'
'-x,y,-z'
'x,-y,z'
'x+1/2,y+1/2,z'
'-x+1/2,-y+1/2,-z'
'-x+1/2,y+1/2,-z'
'x+1/2,-y+1/2,z'
loop_
_atom_site_label
_atom_site_type_symbol
_atom_site_fract_x
_atom_site_fract_y
_atom_site_fract_z
Tb1 Tb 0.000 0.167 0.000
Ce1 Ce 0.000 0.500 0.000
Nd1 Nd 0.000 0.000 0.500
Nd2 Nd 0.000 0.333 0.500
S1 S 0.242 0.000 0.239
S2 S 0.249 0.331 0.240

=====

Record 8
# PBE Nd2ErPd, optimized geometry
# Energy relative to the elements: -1.3 eV per formula unit
# Relative energy among the computed polymorphs: 73.5 meV per atom
# Total DFT energy (no corrections): -20.556 eV for the cell shown
data_Nd2ErPd
_chemical_formula_sum 'Nd2 Er1 Pd1'
_cell_length_a 3.704
_cell_length_b 3.704
_cell_length_c 8.356
_cell_angle_alpha 90.00
_cell_angle_beta 90.00
_cell_angle_gamma 90.00
_space_group_name_H-M_alt 'P 4/m m m'
_space_group_IT_number 123
_space_group_name_Hall '-P 4 2'
loop_
_atom_site_label
_atom_site_type_symbol
_atom_site_fract_x
_atom_site_fract_y
_atom_site_fract_z
Nd1 Nd 0.000 0.000 0.206
Er1 Er 0.500 0.500 0.500
Pd1 Pd 0.500 0.500 0.000

=====

Record 9
# PBE Dy3Ga6Ir5, optimized geometry
# Energy relative to the elements: -10.1 eV per formula unit
# Total DFT energy (no corrections): -172.827 eV for the cell shown
data_Dy3Ga6Ir5
_chemical_formula_sum 'Dy6 Ga12 Ir10'
_cell_length_a 4.199
_cell_length_b 12.565
_cell_length_c 9.465
_cell_angle_alpha 90.00
_cell_angle_beta 90.00
_cell_angle_gamma 90.00
_space_group_name_H-M_alt 'P m m n'
_space_group_IT_number 59
loop_
_space_group_symop_operation_xyz
'x,y,z'
'-x,-y,-z'
'-x+1/2,-y+1/2,z'
'x+1/2,y+1/2,-z'
'x+1/2,-y,-z'
'-x+1/2,y,z'
'-x,y+1/2,-z'
'x,-y+1/2,z'
loop_
_atom_site_label
_atom_site_type_symbol
_atom_site_fract_x
_atom_site_fract_y
_atom_site_fract_z
Dy1 Dy 0.250 0.051 0.248
Dy2 Dy 0.250 0.750 0.240
Ga1 Ga 0.250 0.071 0.906
Ga2 Ga 0.250 0.250 0.082
Ga3 Ga 0.250 0.250 0.453
Ga4 Ga 0.250 0.596 0.523
Ir1 Ir 0.250 0.097 0.632
Ir2 Ir 0.250 0.635 0.965
Ir3 Ir 0.250 0.750 0.711

=====

Record 10
# PBE LiCu2C, optimized geometry
# Energy relative to the elements: 3.0 eV per formula unit
# Relative energy among the computed polymorphs: 148.3 meV per atom
# Total DFT energy (no corrections): -65.410 eV for the cell shown
data_LiCu2C
_chemical_formula_sum 'Li4 Cu8 C4'
_cell_length_a 5.323
_cell_length_b 5.323
_cell_length_c 5.323
_cell_angle_alpha 90.00
_cell_angle_beta 90.00
_cell_angle_gamma 90.00
_space_group_name_H-M_alt 'F m -3 m'
_space_group_IT_number 225
_space_group_name_Hall '-F 4 2 3'
loop_
_atom_site_label
_atom_site_type_symbol
_atom_site_fract_x
_atom_site_fract_y
_atom_site_fract_z
Li1 Li 0.000 0.000 0.000
Cu1 Cu 0.250 0.250 0.250
C1 C 0.000 0.000 0.500

=====

Record 11
# PBE Ho2MgNi9, optimized geometry
# Energy relative to the elements: -3.6 eV per formula unit
# Total DFT energy (no corrections): -198.997 eV for the cell shown
data_Ho2MgNi9
_chemical_formula_sum 'Ho6 Mg3 Ni27'
_cell_length_a 4.9109
_cell_length_b 4.9109
_cell_length_c 24.1130
_cell_angle_alpha 90.00
_cell_angle_beta 90.00
_cell_angle_gamma 120.00
_space_group_name_H-M_alt 'R -3 m'
_space_group_IT_number 166
_space_group_name_Hall '-R 3 2"'
loop_
_atom_site_label
_atom_site_type_symbol
_atom_site_fract_x
_atom_site_fract_y
_atom_site_fract_z
Ho1 Ho 0.0000 0.0000 0.1363
Mg1 Mg 0.0000 0.0000 0.0000
Ni1 Ni 0.0000 0.0000 0.3330
Ni2 Ni 0.0000 0.0000 0.5000
Ni3 Ni 0.0012 0.5006 0.9184

=====

Record 12
# PBE BaP3F, optimized geometry
# Formation energy (no corrections): 0.1 eV/f.u.
# Relative energy among the computed polymorphs: 0.0 meV per atom
# Total DFT energy (no corrections): -19.966 eV for the cell shown
data_BaP3F
_chemical_formula_sum 'Ba1 P3 F1'
_cell_length_a 4.700
_cell_length_b 4.700
_cell_length_c 4.700
_cell_angle_alpha 90.00
_cell_angle_beta 90.00
_cell_angle_gamma 90.00
_space_group_name_H-M_alt 'P m -3 m'
_space_group_IT_number 221
_space_group_name_Hall '-P 4 2 3'
loop_
_atom_site_label
_atom_site_type_symbol
_atom_site_fract_x
_atom_site_fract_y
_atom_site_fract_z
Ba1 Ba 0.000 0.000 0.000
P1 P 0.000 0.500 0.500
F1 F 0.500 0.500 0.500